A plane-wave DFT calculation with PBE+U was carried out for an optimized crystal structure of MnGePbO4.

Properties
- raw total energy (eV/cell) = -91.58
- total moment (μB/f.u.) = 5.00
- density (kg/m3) = 6100
- DOS(E_F) (states/eV/f.u.) = 0.00

```
data_MnGePbO4
_chemical_formula_sum 'Mn2 Ge2 Pb2 O8'
_space_group_name_H-M_alt 'P 1'
_space_group_IT_number 1
_cell_length_a 5.714
_cell_length_b 5.782
_cell_length_c 6.774
_cell_angle_alpha 90.00
_cell_angle_beta 104.03
_cell_angle_gamma 90.00
loop_
_space_group_symop_operation_xyz
'x,y,z'
loop_
_atom_site_label
_atom_site_fract_x
_atom_site_fract_y
_atom_site_fract_z
Mn1 0.189 0.250 0.057
Mn2 0.811 0.750 0.943
Ge1 0.282 0.750 0.846
Ge2 0.718 0.250 0.154
Pb1 0.277 0.250 0.595
Pb2 0.723 0.750 0.405
O1 0.072 0.514 0.810
O2 0.072 0.986 0.810
O3 0.480 0.750 0.681
O4 0.483 0.750 0.088
O5 0.517 0.250 0.912
O6 0.520 0.250 0.319
O7 0.928 0.014 0.190
O8 0.928 0.486 0.190
```